# 1
Computed, not measured: a geometry-optimized K2CaAu2Br6 structure at the PBE level of DFT.

Summary:
As for the mass density: 4.31 g/cm³. The electronic total energy comes out at -33.4 eV/f.u.

Lattice parameters (Å, degrees): 7.927 8.183 8.011 118.23 90.00 118.97
Atoms (fractional coordinates):
K: 0.744 0.488 0.204
Br: 0.674 0.856 0.185
Br: 0.270 0.540 0.399
K: 0.256 0.512 0.796
Br: 0.182 0.856 0.185
Br: 0.730 0.460 0.601
Ca: 0.500 0.000 0.500
Au: 0.941 0.882 0.781
Br: 0.818 0.144 0.815
Br: 0.326 0.144 0.815
Au: 0.059 0.118 0.219



# 2
Computed, not measured: a geometry-optimized SrCdHg2Pd structure at the PBE level of DFT.

Summary:
As for the mass density: 8.10 g/cm³. The electronic total energy comes out at -9.7 eV/f.u.

Lattice parameters (Å, degrees): 5.290 5.290 5.186 90.00 90.00 90.00
Atoms (fractional coordinates):
Hg: 0.500 0.000 0.000
Hg: 0.000 0.500 0.000
Pd: 0.000 0.000 0.000
Sr: 0.500 0.500 0.500
Cd: 0.000 0.000 0.500



# 3
Computed, not measured: a geometry-optimized K3H4Pd structure at the PBE level of DFT.

Summary:
As for the mass density: 2.51 g/cm³. The electronic total energy comes out at -23.4 eV/f.u.

Lattice parameters (Å, degrees): 5.572 6.106 8.874 90.00 90.00 90.00
Atoms (fractional coordinates):
H: 0.849 0.466 0.000
H: 0.524 0.766 0.309
K: 0.022 0.704 0.749
Pd: 0.495 0.778 0.500
H: 0.050 0.949 0.000
H: 0.024 0.234 0.191
K: 0.530 0.841 0.000
K: 0.522 0.296 0.249
K: 0.030 0.159 0.500
Pd: 0.995 0.222 0.000
H: 0.349 0.534 0.500
H: 0.024 0.234 0.809
H: 0.550 0.051 0.500
H: 0.524 0.766 0.691
K: 0.522 0.296 0.751
K: 0.022 0.704 0.251



# 4
Computed, not measured: a geometry-optimized Na3Y3ScS8 structure at the PBE level of DFT.

Summary:
As for the mass density: 2.94 g/cm³. The electronic total energy comes out at -88.6 eV/f.u.

Lattice parameters (Å, degrees): 7.864 7.864 8.109 119.03 90.00 120.00
Atoms (fractional coordinates):
Sc: 0.000 0.000 0.500
S: 0.257 0.513 0.270
S: 0.743 0.487 0.730
S: 0.753 0.985 0.717
Na: 0.000 0.500 0.000
Y: 0.500 0.000 0.500
Y: 0.000 0.500 0.500
Y: 0.500 0.500 0.500
S: 0.232 0.985 0.717
S: 0.768 0.536 0.283
S: 0.247 0.015 0.283
Na: 0.000 0.000 0.000
S: 0.232 0.464 0.717
S: 0.768 0.015 0.283
Na: 0.500 0.500 0.000